Here is an optimized crystal structure of NdMg4Pb from Alexandria. Energies are from PBE-GGA.

Output
Total DFT energy (no corrections) in eV/cell: -60.48

Structure (CIF):
```
data_NdMg4Pb
_space_group_name_H-M_alt 'F -4 3 m'
_space_group_IT_number 216
_space_group_name_Hall 'F -4 2 3'
_cell_length_a 8.5884
_cell_length_b 8.5884
_cell_length_c 8.5884
_cell_angle_alpha 90.00
_cell_angle_beta 90.00
_cell_angle_gamma 90.00
loop_
_atom_site_label
_atom_site_type_symbol
_atom_site_fract_x
_atom_site_fract_y
_atom_site_fract_z
Nd1 Nd 0.0000 0.0000 0.0000
Mg1 Mg 0.1247 0.1247 0.6247
Pb1 Pb 0.2500 0.2500 0.2500
```